Record 1
Compound: LaY6
Source: Alexandria
Functional: PBE-GGA
Structure: relaxed

Geometry as CIF:
```
data_LaY6
_symmetry_space_group_name_H-M 'I m -3 m'
_symmetry_Int_Tables_number 229
_symmetry_space_group_name_Hall '-I 4 2 3'
_cell_length_a 8.0780
_cell_length_b 8.0780
_cell_length_c 8.0780
_cell_angle_alpha 90.00
_cell_angle_beta 90.00
_cell_angle_gamma 90.00
loop_
_atom_site_label
_atom_site_type_symbol
_atom_site_fract_x
_atom_site_fract_y
_atom_site_fract_z
La1 La 0.0000 0.0000 0.0000
Y1 Y 0.0000 0.2500 0.5000
```

=====

Record 2
Compound: La4Y3
Source: Alexandria
Functional: PBE-GGA
Structure: relaxed

Geometry as CIF:
```
data_La4Y3
_symmetry_space_group_name_H-M 'I 4/m m m'
_symmetry_Int_Tables_number 139
_symmetry_space_group_name_Hall '-I 4 2'
_cell_length_a 3.6909
_cell_length_b 3.6909
_cell_length_c 35.9925
_cell_angle_alpha 90.00
_cell_angle_beta 90.00
_cell_angle_gamma 90.00
loop_
_atom_site_label
_atom_site_type_symbol
_atom_site_fract_x
_atom_site_fract_y
_atom_site_fract_z
La1 La 0.0000 0.0000 0.0716
La2 La 0.0000 0.0000 0.3566
Y1 Y 0.0000 0.0000 0.2164
Y2 Y 0.0000 0.0000 0.5000
```

=====

Record 3
Compound: LaY3
Source: Alexandria
Functional: PBE-GGA
Structure: relaxed

Geometry as CIF:
```
data_LaY3
_symmetry_space_group_name_H-M 'P m -3 n'
_symmetry_Int_Tables_number 223
_symmetry_space_group_name_Hall '-P 4n 2 3'
_cell_length_a 6.4520
_cell_length_b 6.4520
_cell_length_c 6.4520
_cell_angle_alpha 90.00
_cell_angle_beta 90.00
_cell_angle_gamma 90.00
loop_
_atom_site_label
_atom_site_type_symbol
_atom_site_fract_x
_atom_site_fract_y
_atom_site_fract_z
La1 La 0.0000 0.0000 0.0000
Y1 Y 0.0000 0.2500 0.5000
```

=====

Record 4
Compound: La7Y5
Source: Alexandria
Functional: PBE-GGA
Structure: relaxed

Geometry as CIF:
```
data_La7Y5
_symmetry_space_group_name_H-M 'C 1 2/m 1'
_symmetry_Int_Tables_number 12
_cell_length_a 9.9092
_cell_length_b 5.9288
_cell_length_c 15.0150
_cell_angle_alpha 90.00
_cell_angle_beta 103.78
_cell_angle_gamma 90.00
loop_
_symmetry_equiv_pos_as_xyz
'x,y,z'
'-x,-y,-z'
'-x,y,-z'
'x,-y,z'
'x+1/2,y+1/2,z'
'-x+1/2,-y+1/2,-z'
'-x+1/2,y+1/2,-z'
'x+1/2,-y+1/2,z'
loop_
_atom_site_label
_atom_site_type_symbol
_atom_site_fract_x
_atom_site_fract_y
_atom_site_fract_z
La1 La 0.0000 0.0000 0.0000
La2 La 0.0388 0.5000 0.7128
La3 La 0.1848 0.0000 0.5824
La4 La 0.2363 0.5000 0.1714
Y1 Y 0.0000 0.5000 0.5000
Y2 Y 0.1223 0.0000 0.3005
Y3 Y 0.1417 0.5000 0.9401
```

=====

Record 5
Compound: LaY3
Source: Alexandria
Functional: PBE-GGA
Structure: relaxed

Geometry as CIF:
```
data_LaY3
_symmetry_space_group_name_H-M 'C 1 2/m 1'
_symmetry_Int_Tables_number 12
_cell_length_a 11.9915
_cell_length_b 3.6173
_cell_length_c 6.2402
_cell_angle_alpha 90.00
_cell_angle_beta 99.88
_cell_angle_gamma 90.00
loop_
_symmetry_equiv_pos_as_xyz
'x,y,z'
'-x,-y,-z'
'-x,y,-z'
'x,-y,z'
'x+1/2,y+1/2,z'
'-x+1/2,-y+1/2,-z'
'-x+1/2,y+1/2,-z'
'x+1/2,-y+1/2,z'
loop_
_atom_site_label
_atom_site_type_symbol
_atom_site_fract_x
_atom_site_fract_y
_atom_site_fract_z
La1 La 0.0000 0.0000 0.0000
Y1 Y 0.0000 0.5000 0.5000
Y2 Y 0.2499 0.0000 0.7497
```

=====

Record 6
Compound: LaY2
Source: Alexandria
Functional: PBE-GGA
Structure: relaxed

Geometry as CIF:
```
data_LaY2
_symmetry_space_group_name_H-M 'I 41/a m d'
_symmetry_Int_Tables_number 141
_cell_length_a 3.5555
_cell_length_b 3.5555
_cell_length_c 32.7102
_cell_angle_alpha 90.00
_cell_angle_beta 90.00
_cell_angle_gamma 90.00
loop_
_symmetry_equiv_pos_as_xyz
'x,y,z'
'-x,-y,-z'
'-y+1/4,x+3/4,z+1/4'
'y+1/4,-x+3/4,-z+1/4'
'-x+1/2,-y,z+1/2'
'x+1/2,y,-z+1/2'
'y+1/4,-x+1/4,z+3/4'
'-y+1/4,x+1/4,-z+3/4'
'x,-y,-z'
'-x,y,z'
'-y+1/4,-x+1/4,-z+3/4'
'y+1/4,x+1/4,z+3/4'
'-x+1/2,y,-z+1/2'
'x+1/2,-y,z+1/2'
'y+1/4,x+3/4,-z+1/4'
'-y+1/4,-x+3/4,z+1/4'
'x+1/2,y+1/2,z+1/2'
'-x+1/2,-y+1/2,-z+1/2'
'-y+3/4,x+1/4,z+3/4'
'y+3/4,-x+1/4,-z+3/4'
'-x,-y+1/2,z'
'x,y+1/2,-z'
'y+3/4,-x+3/4,z+1/4'
'-y+3/4,x+3/4,-z+1/4'
'x+1/2,-y+1/2,-z+1/2'
'-x+1/2,y+1/2,z+1/2'
'-y+3/4,-x+3/4,-z+1/4'
'y+3/4,x+3/4,z+1/4'
'-x,y+1/2,-z'
'x,-y+1/2,z'
'y+3/4,x+1/4,-z+3/4'
'-y+3/4,-x+1/4,z+3/4'
loop_
_atom_site_label
_atom_site_type_symbol
_atom_site_fract_x
_atom_site_fract_y
_atom_site_fract_z
La1 La 0.0000 0.2500 0.3750
Y1 Y 0.0000 0.2500 0.7958
```

=====

E / eV per atom: -4.90 -5.56 -5.88 -5.42 -6.06 -5.78
Magnetization / Bohr magnetons per cell: 0.0 0.0 0.0 0.0 0.0 0.0